Record 1
Computed, not measured: TeBr3 after structural relaxation at the GGA-PBEsol level of DFT.

Cell and atoms, written as extended XYZ:
```
4
Lattice="-0.717 -2.813 -1.676 0.474 -1.787 2.797 -8.870 0.990 2.135" Properties=species:S:1:pos:R:3 pbc="T T T"
Te 0.000 0.000 0.000
Br -7.105 -1.521 2.241
Br -4.435 0.495 1.068
Br -2.009 -2.089 1.015
```

Computed properties:
For the raw total energy, the calculation gives -2.021 eV/atom. As for the uncorrected formation energy: 0.26 eV per atom. As for the density: 5914 kg/m³. Its offset from the most stable computed form is 561 meV per atom. As for the crystal system: tetragonal. As for the symmetry: P4/mmm.



Record 2
Computed, not measured: TeBr3 after structural relaxation at the GGA-PBEsol level of DFT.

Cell and atoms, written as extended XYZ:
```
4
Lattice="3.655 0.000 0.000 -1.827 3.311 0.000 0.000 0.000 9.442" Properties=species:S:1:pos:R:3 pbc="T T T"
Te 1.827 0.000 4.721
Br 0.000 0.000 6.799
Br 1.827 0.000 0.000
Br 0.000 0.000 2.643
```

Computed properties:
For the raw total energy, the calculation gives -2.255 eV/atom. As for the uncorrected formation energy: 0.03 eV per atom. As for the density: 5338 kg/m³. Its offset from the most stable computed form is 327 meV per atom. As for the crystal system: orthorhombic. As for the symmetry: Cmmm.



Record 3
Computed, not measured: Te2Br after structural relaxation at the GGA-PBEsol level of DFT.

Cell and atoms, written as extended XYZ:
```
24
Lattice="3.996 0.000 0.000 0.000 12.967 0.000 0.000 0.000 14.970" Properties=species:S:1:pos:R:3 pbc="T T T"
Br 2.997 7.809 8.330
Br 0.999 1.325 14.124
Br 0.999 5.158 6.639
Br 2.997 11.641 0.845
Br 2.997 8.106 12.551
Br 0.999 1.622 9.903
Br 0.999 4.861 2.418
Br 2.997 11.344 5.067
Te 2.997 3.424 13.871
Te 0.999 9.907 8.584
Te 0.999 9.543 1.099
Te 2.997 3.060 6.386
Te 2.997 11.930 8.784
Te 0.999 5.447 13.670
Te 0.999 1.036 6.186
Te 2.997 7.520 1.299
Te 2.997 12.263 11.782
Te 0.999 5.780 10.673
Te 0.999 0.704 3.188
Te 2.997 7.187 4.297
Te 2.997 3.830 10.218
Te 0.999 10.314 12.237
Te 0.999 9.137 4.752
Te 2.997 2.653 2.733
```

Computed properties:
For the raw total energy, the calculation gives -3.117 eV/atom. As for the uncorrected formation energy: -0.14 eV per atom. As for the density: 5740 kg/m³. Its offset from the most stable computed form is 0 meV per atom. As for the crystal system: orthorhombic. As for the symmetry: Pnma.



Record 4
Computed, not measured: Te2Br after structural relaxation at the GGA-PBEsol level of DFT.

Cell and atoms, written as extended XYZ:
```
6
Lattice="3.959 0.000 0.000 -1.979 6.798 -0.632 0.000 -1.341 7.061" Properties=species:S:1:pos:R:3 pbc="T T T"
Te 1.979 6.093 1.093
Te 1.979 1.388 5.460
Te 0.000 -0.637 5.336
Te 0.000 4.069 0.969
Br 0.000 3.917 4.463
Br 1.979 1.540 1.966
```

Computed properties:
For the raw total energy, the calculation gives -3.063 eV/atom. As for the uncorrected formation energy: -0.09 eV per atom. As for the density: 5962 kg/m³. Its offset from the most stable computed form is 54 meV per atom. As for the crystal system: monoclinic. As for the symmetry: C2/m.



Record 5
Computed, not measured: TeBr3 after structural relaxation at the GGA-PBEsol level of DFT.

Cell and atoms, written as extended XYZ:
```
8
Lattice="-2.481 -5.305 3.357 2.873 -1.028 -6.022 5.892 1.210 3.916" Properties=species:S:1:pos:R:3 pbc="T T T"
Te 1.854 -3.060 1.426
Te 3.166 -2.012 -0.872
Br 4.309 -4.203 0.543
Br -0.869 -5.358 1.874
Br 4.870 -0.416 0.230
Br 1.040 -3.861 -1.167
Br 2.715 -2.496 -4.402
Br 3.113 -1.820 3.308
```

Computed properties:
For the raw total energy, the calculation gives -2.582 eV/atom. As for the uncorrected formation energy: -0.30 eV per atom. As for the density: 4487 kg/m³. Its offset from the most stable computed form is 0 meV per atom. As for the crystal system: monoclinic. As for the symmetry: Cm.



Record 6
Computed, not measured: Te5Br after structural relaxation at the GGA-PBEsol level of DFT.

Cell and atoms, written as extended XYZ:
```
6
Lattice="4.085 0.000 0.000 -2.042 6.642 -0.086 0.000 -3.063 7.485" Properties=species:S:1:pos:R:3 pbc="T T T"
Te 2.042 1.042 4.593
Te 0.000 3.767 1.697
Te 0.000 3.278 4.558
Te 0.000 -1.041 4.149
Te 2.042 1.917 0.902
Br 2.042 6.540 0.031
```

Computed properties:
For the raw total energy, the calculation gives -3.229 eV/atom. As for the uncorrected formation energy: 0.02 eV per atom. As for the density: 5902 kg/m³. Its offset from the most stable computed form is 0 meV per atom. As for the crystal system: monoclinic. As for the symmetry: Cm.



no.,V (Å³/atom)
1,25.8
2,28.6
3,32.3
4,31.1
5,34.0
6,33.7